# 1
VASP calculation (PBE) on crystalline HgAu2 at its relaxed geometry.

Output
crystal system	cubic
energy of formation from the pure elements	42	meV per atom
volume	21.04	A^3/atom

abc: 5.6304 5.6304 5.6304
angles: 60.00 60.00 60.00
Element x y z (fractional)
Au1 0.5000 0.0000 0.5000
Au2 0.5000 0.5000 0.5000
Au3 0.5000 0.5000 0.0000
Au4 0.0000 0.5000 0.5000
Hg1 0.1250 0.1250 0.1250
Hg2 0.8750 0.8750 0.8750

---

# 2
VASP calculation (PBE) on crystalline HgAu3 at its relaxed geometry.

Output
crystal system	orthorhombic
energy of formation from the pure elements	56	meV per atom
volume	19.43	A^3/atom

abc: 5.6509 9.3347 5.8938
angles: 90.00 90.00 90.00
Element x y z (fractional)
Hg1 0.5597 0.7500 0.8984
Hg2 0.0597 0.7500 0.6016
Hg3 0.9403 0.2500 0.3984
Hg4 0.4403 0.2500 0.1016
Au1 0.2866 0.5041 0.3496
Au2 0.7134 0.0041 0.6504
Au3 0.7134 0.4959 0.6504
Au4 0.7866 0.9959 0.1504
Au5 0.7866 0.5041 0.1504
Au6 0.2134 0.0041 0.8496
Au7 0.0923 0.7500 0.1104
Au8 0.2866 0.9959 0.3496
Au9 0.5923 0.7500 0.3896
Au10 0.2134 0.4959 0.8496
Au11 0.9077 0.2500 0.8896
Au12 0.4077 0.2500 0.6104

---

| no. | energy (eV per atom) |
| --- | --- |
| 1 | -2.24 |
| 2 | -2.48 |